--- 1 ---
Density functional theory data (PBE-GGA) for a geometry-optimized CsNaI structure.

## Properties
Theoretical density in g cm⁻³: 2.7

Cell: 5.560 13.853 9.042 Å, 90.00 90.00 90.00°
Atoms (fractional coordinates):
Cs1 0.250 0.835 0.970
Cs2 0.750 0.165 0.970
Cs3 0.750 0.335 0.470
Cs4 0.250 0.665 0.470
Na1 0.250 0.083 0.351
Na2 0.750 0.917 0.351
Na3 0.750 0.583 0.851
Na4 0.250 0.417 0.851
I1 0.250 0.193 0.678
I2 0.750 0.807 0.678
I3 0.750 0.693 0.178
I4 0.250 0.307 0.178

=====

--- 2 ---
Density functional theory data (PBE-GGA) for a geometry-optimized CsNaI structure.

## Properties
Theoretical density in g cm⁻³: 3.1

Cell: 4.803 4.695 13.652 Å, 90.00 100.05 90.00°
Atoms (fractional coordinates):
Cs1 0.382 0.500 0.233
Cs2 0.560 0.500 0.574
Na1 0.172 0.000 0.808
Na2 0.725 0.500 0.914
I1 0.984 0.000 0.423
I2 0.807 0.000 0.082

=====

--- 3 ---
Density functional theory data (PBE-GGA) for a geometry-optimized CsNaI structure.

## Properties
Theoretical density in g cm⁻³: 2.7

Cell: 5.730 5.231 12.072 Å, 90.00 103.65 90.00°
Atoms (fractional coordinates):
Cs1 0.583 0.500 0.376
Cs2 0.819 0.000 0.861
Na1 0.227 0.500 0.677
Na2 0.374 0.500 0.970
I1 0.453 0.000 0.124
I2 0.141 0.000 0.493

=====

Relative energy of each structure, in kJ/mol of atoms: 1 3.2; 2 0.0; 3 6.6.

=====

--- 1 ---
Density functional theory data (PBE-GGA) for a geometry-optimized CsNaI structure.

## Properties
Theoretical density in g cm⁻³: 2.9

Cell: 4.770 5.148 13.276 Å, 90.00 90.00 90.00°
Atoms (fractional coordinates):
Cs1 0.500 0.500 0.212
Cs2 0.500 0.000 0.570
Na1 0.000 0.500 0.813
Na2 0.500 0.000 0.909
I1 0.000 0.500 0.445
I2 0.000 0.000 0.087

=====

--- 2 ---
Density functional theory data (PBE-GGA) for a geometry-optimized CsNaI structure.

## Properties
Theoretical density in g cm⁻³: 2.9

Cell: 6.590 5.139 10.218 Å, 90.00 108.78 90.00°
Atoms (fractional coordinates):
Cs1 0.346 0.000 0.378
Cs2 0.048 0.000 0.777
Na1 0.531 0.500 0.742
Na2 0.705 0.500 0.096
I1 0.199 0.500 0.083
I2 0.869 0.500 0.426

=====

Relative energy of each structure, in kJ/mol of atoms: 1 0.0; 2 6.6.

=====

--- 1 ---
Density functional theory data (PBE-GGA) for a geometry-optimized CsNa2I structure.

## Properties
Theoretical density in g cm⁻³: 2.6

Cell: 6.492 6.492 6.492 Å, 60.00 60.00 60.00°
Atoms (fractional coordinates):
Cs1 0.500 0.500 0.500
I1 0.000 0.000 0.000
Na1 0.250 0.250 0.250
Na2 0.750 0.750 0.750

=====

--- 2 ---
Density functional theory data (PBE-GGA) for a geometry-optimized CsNa2I structure.

## Properties
Theoretical density in g cm⁻³: 2.3

Cell: 10.997 10.997 8.619 Å, 50.36 50.36 90.00°
Atoms (fractional coordinates):
Cs1 0.000 0.000 0.000
Cs2 0.750 0.250 0.500
I1 0.500 0.500 0.000
I2 0.250 0.750 0.500
Na1 0.542 0.125 0.250
Na2 0.208 0.625 0.250
Na3 0.375 0.458 0.750
Na4 0.875 0.792 0.750

=====

Relative energy of each structure, in kJ/mol of atoms: 1 19.5; 2 0.0.

=====

--- 1 ---
Density functional theory data (PBE-GGA) for a geometry-optimized Cs2NaI2 structure.

## Properties
Theoretical density in g cm⁻³: 3.3

Cell: 10.432 10.432 4.962 Å, 90.00 90.00 90.00°
Atoms (fractional coordinates):
Cs1 0.148 0.648 0.500
Cs2 0.648 0.852 0.500
Cs3 0.852 0.352 0.500
Cs4 0.352 0.148 0.500
I1 0.346 0.846 0.000
I2 0.846 0.654 0.000
I3 0.654 0.154 0.000
I4 0.154 0.346 0.000
Na1 0.000 0.000 0.000
Na2 0.500 0.500 0.000

=====

--- 2 ---
Density functional theory data (PBE-GGA) for a geometry-optimized Cs2NaI2 structure.

## Properties
Theoretical density in g cm⁻³: 2.4

Cell: 7.263 7.263 8.812 Å, 65.66 65.66 90.00°
Atoms (fractional coordinates):
Cs1 0.320 0.320 0.360
Cs2 0.680 0.680 0.640
I1 0.750 0.250 0.500
I2 0.250 0.750 0.500
Na1 0.000 0.000 0.000

=====

Relative energy of each structure, in kJ/mol of atoms: 1 0.0; 2 14.0.